Entry 1:
A relaxed structure of Li2Hf2AlInPt2. Source: OQMD, functional PBE.

a b c (Å): 4.5179 4.5179 6.4293
angles (deg): 90.00 90.00 90.00
Space group P-4m2 (No. 115)
Symmetry-distinct sites (fractional):
Li 0.0000 0.5000 0.2405 [2 per cell]
Hf 0.0000 0.0000 0.0000 [1 per cell]
Hf 0.5000 0.5000 0.5000 [1 per cell]
Al 0.5000 0.5000 0.0000 [1 per cell]
In 0.0000 0.0000 0.5000 [1 per cell]
Pt 0.0000 0.5000 0.7645 [2 per cell]

M_tot (μB per formula unit): 0.0
Calculated volume (Å³ per cell): 131
Raw total energy (eV/f.u.): -48.77

Entry 2:
A relaxed structure of RbErSO. Source: OQMD, functional PBE.

a b c (Å): 3.6969 3.6969 14.3195
angles (deg): 90.00 90.00 120.00
Space group P-6m2 (No. 187)
Symmetry-distinct sites (fractional):
Rb 0.0000 0.0000 0.0000 [1 per cell]
Rb 0.3333 0.6667 0.5000 [1 per cell]
Er 0.6667 0.3333 0.2205 [2 per cell]
S 0.0000 0.0000 0.3328 [2 per cell]
O 0.3333 0.6667 0.1479 [2 per cell]

M_tot (μB per formula unit): 0.0
Calculated volume (Å³ per cell): 169
Energy above the lowest structure with this stoichiometry (eV/atom): 0.1064

Entry 3:
A relaxed structure of Pm3InS6. Source: OQMD, functional PBE.

a b c (Å): 10.9585 13.7183 6.7462
angles (deg): 90.00 90.00 90.00
Space group Cmc2_1 (No. 36)
Symmetry-distinct sites (fractional):
Pm 0.0000 0.0974 0.0000 [4 per cell]
Pm 0.1865 0.4013 0.0865 [8 per cell]
In 0.0000 0.3004 0.6151 [4 per cell]
S 0.0000 0.2801 0.2536 [4 per cell]
S 0.0000 0.4665 0.7774 [4 per cell]
S 0.1618 0.0283 0.2922 [8 per cell]
S 0.1710 0.2311 0.8124 [8 per cell]

M_tot (μB per formula unit): 0.0
Calculated volume (Å³ per cell): 1014
Raw total energy (eV/f.u.): -58.75

Entry 4:
A relaxed structure of Sm2Dy2CI3Cl2. Source: OQMD, functional PBE.

a b c (Å): 18.7616 3.9468 8.6698
angles (deg): 90.00 103.67 90.00
Space group C2/m (No. 12)
Symmetry-distinct sites (fractional):
Sm 0.0013 0.0000 0.1957 [4 per cell]
Dy 0.1322 0.5000 0.0740 [4 per cell]
C 0.0000 0.5000 0.0000 [2 per cell]
I 0.0000 0.5000 0.5000 [2 per cell]
I 0.1708 0.0000 0.8321 [4 per cell]
Cl 0.1566 0.0000 0.3002 [4 per cell]

M_tot (μB per formula unit): 0.1
Calculated volume (Å³ per cell): 624
Energy above the lowest structure with this stoichiometry (eV/atom): 0.0035

Entry 5:
A relaxed structure of AlCu2Sb. Source: OQMD, functional PBE.

a b c (Å): 6.4209 6.4209 6.4209
angles (deg): 90.00 90.00 90.00
Space group Pm-3m (No. 221)
Symmetry-distinct sites (fractional):
Al 0.0000 0.0000 0.0000 [1 per cell]
Al 0.0000 0.0000 0.5000 [3 per cell]
Cu 0.2206 0.2206 0.2206 [8 per cell]
Sb 0.0000 0.5000 0.5000 [3 per cell]
Sb 0.5000 0.5000 0.5000 [1 per cell]

Calculated volume (Å³ per cell): 265
Raw total energy (eV/f.u.): -14.78

Which value of calculated volume does entry 5 give? 265 Å³ per cell